Record 1
VASP calculation (PBE-GGA) on crystalline PmEr3Co2 at its relaxed geometry.

a b c (Å): 4.935 8.982 8.031
angles (deg): 124.72 90.00 105.95
Atoms (fractional coordinates):
Er 0.932 0.864 0.594
Er 0.319 0.638 0.633
Er 0.368 0.737 0.245
Er 0.632 0.263 0.755
Er 0.068 0.136 0.406
Er 0.681 0.362 0.367
Pm 0.131 0.263 0.044
Pm 0.869 0.737 0.956
Co 0.224 0.448 0.816
Co 0.505 0.011 0.861
Co 0.776 0.552 0.184
Co 0.495 0.989 0.139


Record 2
VASP calculation (PBE-GGA) on crystalline PmEr4Co at its relaxed geometry.

a b c (Å): 6.186 3.527 8.491
angles (deg): 78.01 105.62 73.42
Atoms (fractional coordinates):
Er 0.551 0.121 0.210
Er 0.449 0.879 0.790
Er 0.872 0.754 0.620
Er 0.128 0.246 0.380
Co 0.500 0.500 0.500
Pm 0.000 0.000 0.000


Record 3
VASP calculation (PBE-GGA) on crystalline Pm2Er3Co2 at its relaxed geometry.

a b c (Å): 3.623 6.322 8.957
angles (deg): 115.23 90.00 106.65
Atoms (fractional coordinates):
Co 0.824 0.648 0.758
Co 0.176 0.352 0.242
Er 0.380 0.761 0.575
Er 0.620 0.239 0.425
Er 0.500 0.000 0.000
Pm 0.830 0.660 0.198
Pm 0.170 0.340 0.802


Record 4
VASP calculation (PBE-GGA) on crystalline Pm3ErCo at its relaxed geometry.

a b c (Å): 5.391 5.391 5.391
angles (deg): 90.00 90.00 90.00
Site moments in Bohr magnetons follow the coordinates.
Atoms (fractional coordinates):
Er 0.500 0.500 0.500  0.19
Pm 0.500 0.000 0.000  0.06
Pm 0.000 0.000 0.500  0.06
Pm 0.000 0.500 0.000  0.06
Co 0.000 0.000 0.000  0.06


Record 5
VASP calculation (PBE-GGA) on crystalline PmErCo4 at its relaxed geometry.

a b c (Å): 5.098 5.098 5.098
angles (deg): 60.00 60.00 60.00
Site moments in Bohr magnetons follow the coordinates.
Atoms (fractional coordinates):
Co 0.624 0.624 0.624  1.16
Co 0.624 0.624 0.127  1.16
Co 0.127 0.624 0.624  1.16
Co 0.624 0.127 0.624  1.16
Pm 0.000 0.000 0.000  -0.24
Er 0.250 0.250 0.250  -0.37


Record 6
VASP calculation (PBE-GGA) on crystalline Pm3ErCo at its relaxed geometry.

a b c (Å): 8.301 7.288 7.288
angles (deg): 71.50 54.88 54.88
Atoms (fractional coordinates):
Pm 0.292 0.452 0.045
Pm 0.755 0.454 0.454
Pm 0.292 0.045 0.452
Pm 0.708 0.955 0.548
Pm 0.708 0.548 0.955
Pm 0.245 0.546 0.546
Er 0.156 0.045 0.045
Er 0.844 0.955 0.955
Co 0.639 0.248 0.248
Co 0.361 0.752 0.752


Record 7
VASP calculation (PBE-GGA) on crystalline Pm3ErCo at its relaxed geometry.

a b c (Å): 7.333 7.333 7.333
angles (deg): 100.85 119.01 109.08
Atoms (fractional coordinates):
Er 0.502 0.782 0.220
Er 0.563 0.282 0.780
Co 0.530 0.032 0.998
Co 0.034 0.532 0.002
Pm 0.052 0.781 0.771
Pm 0.032 0.817 0.286
Pm 0.010 0.281 0.229
Pm 0.531 0.746 0.714
Pm 0.032 0.246 0.715
Pm 0.531 0.317 0.285


Record 8
VASP calculation (PBE-GGA) on crystalline PmEr6Co2 at its relaxed geometry.

a b c (Å): 8.450 8.450 8.450
angles (deg): 107.46 108.92 112.06
Atoms (fractional coordinates):
Co 0.500 0.613 0.113
Co 0.500 0.387 0.887
Co 0.680 0.000 0.680
Co 0.320 0.000 0.320
Er 0.315 0.996 0.681
Er 0.218 0.761 0.979
Er 0.524 0.711 0.813
Er 0.102 0.289 0.813
Er 0.476 0.289 0.187
Er 0.782 0.761 0.543
Er 0.898 0.711 0.187
Er 0.782 0.239 0.021
Er 0.685 0.004 0.319
Er 0.218 0.239 0.457
Er 0.315 0.635 0.319
Er 0.685 0.365 0.681
Pm 0.000 0.500 0.500
Pm 0.000 0.000 0.000


Number 1: ΔE_f -0.05 eV per atom. Number 2: ΔE_f -0.05 eV per atom. Number 3: ΔE_f -0.15 eV per atom. Number 4: ΔE_f 0.10 eV per atom. Number 5: ΔE_f -0.15 eV per atom. Number 6: ΔE_f -0.08 eV per atom. Number 7: ΔE_f -0.03 eV per atom. Number 8: ΔE_f -0.07 eV per atom.